# 1
# MgTc2C

A crystal of MgTc2C relaxed with PBEsol (meta-GGA SCAN, Alexandria via LeMat-Bulk).

Cell lengths 4.0732, 4.0732, 4.0732 Å; angles 60.00, 60.00, 60.00 degrees
Sites, in units of the cell vectors:
Mg (0.0000, 0.0000, 0.0000)
Tc (0.2500, 0.2500, 0.2500)
Tc (0.7500, 0.7500, 0.7500)
C (0.5000, 0.5000, 0.5000)

D(E_F)	1.254	states/eV per atom
symmetry	Fm-3m (225)
total magnetic moment	0.000	Bohr magnetons per cell
formation enthalpy at 0 K	1.438	eV/atom


# 2
# MgTeC3

A crystal of MgTeC3 relaxed with PBEsol (meta-GGA SCAN, Alexandria via LeMat-Bulk).

Cell lengths 4.1780, 4.1780, 4.1780 Å; angles 90.00, 90.00, 90.00 degrees
Sites, in units of the cell vectors:
Mg (0.0000, 0.0000, 0.0000)
Te (0.5000, 0.5000, 0.5000)
C (0.0000, 0.5000, 0.5000)
C (0.5000, 0.0000, 0.5000)
C (0.5000, 0.5000, 0.0000)

D(E_F)	0.650	states/eV per atom
formation energy (no corrections)	2.684	eV/atom
symmetry	Pm-3m (221)
total magnetic moment	0.000	Bohr magnetons per cell


# 3
# MgTe3C

A crystal of MgTe3C relaxed with PBEsol (meta-GGA SCAN, Alexandria via LeMat-Bulk).

Cell lengths 5.3147, 5.3147, 5.3147 Å; angles 90.00, 90.00, 90.00 degrees
Sites, in units of the cell vectors:
Mg (0.0000, 0.0000, 0.0000)
Te (0.0000, 0.0000, 0.5000)
Te (0.0000, 0.5000, 0.0000)
Te (0.5000, 0.0000, 0.0000)
C (0.5000, 0.5000, 0.5000)

D(E_F)	1.371	states/eV per atom
formation energy (no corrections)	1.642	eV/atom
symmetry	Pm-3m (221)
total magnetic moment	0.537	Bohr magnetons per cell


# 4
# Mg3WC

A crystal of Mg3WC relaxed with PBEsol (meta-GGA SCAN, Alexandria via LeMat-Bulk).

Cell lengths 5.2315, 5.2315, 5.2315 Å; angles 90.00, 90.00, 90.00 degrees
Sites, in units of the cell vectors:
Mg (0.0000, 0.0000, 0.5000)
Mg (0.0000, 0.5000, 0.0000)
Mg (0.5000, 0.0000, 0.0000)
W (0.0000, 0.0000, 0.0000)
C (0.5000, 0.5000, 0.5000)

D(E_F)	1.020	states/eV per atom
symmetry	Pm-3m (221)
total magnetic moment	5.255	Bohr magnetons per cell
formation enthalpy at 0 K	2.683	eV/atom


Repeat the first record exactly.
# MgTc2C

A crystal of MgTc2C relaxed with PBEsol (meta-GGA SCAN, Alexandria via LeMat-Bulk).

Cell lengths 4.0732, 4.0732, 4.0732 Å; angles 60.00, 60.00, 60.00 degrees
Sites, in units of the cell vectors:
Mg (0.0000, 0.0000, 0.0000)
Tc (0.2500, 0.2500, 0.2500)
Tc (0.7500, 0.7500, 0.7500)
C (0.5000, 0.5000, 0.5000)

D(E_F)	1.254	states/eV per atom
symmetry	Fm-3m (225)
total magnetic moment	0.000	Bohr magnetons per cell
formation enthalpy at 0 K	1.438	eV/atom


Q: total magnetic moment of number 1 (MgTc2C)?
A: 0.000 Bohr magnetons per cell


Q: Look up the total magnetic moment of the fourth one.
A: 5.255 Bohr magnetons per cell